A plane-wave DFT calculation with PBE was carried out for a relaxed NaUTl2 crystal.

a = 5.8339 Å, b = 5.8339 Å, c = 3.1058 Å
α = 90.00°, β = 90.00°, γ = 90.00°
Fractional coordinates of all 4 atoms:
Na: 0.0000 0.0000 0.0000
U: 0.5000 0.5000 0.0000
Tl: 0.0000 0.5000 0.5000
Tl: 0.5000 0.0000 0.5000

Calculated values
* DOS at the Fermi energy: 5.9 states/eV/cell
* V: 105.7 Å³/cell

---

A plane-wave DFT calculation with PBE was carried out for a relaxed Na2TlV crystal.

a = 5.2346 Å, b = 5.2346 Å, c = 5.2346 Å
α = 60.00°, β = 60.00°, γ = 60.00°
Fractional coordinates of all 4 atoms:
Na: 0.2500 0.2500 0.2500
Na: 0.7500 0.7500 0.7500
Tl: 0.0000 0.0000 0.0000
V: 0.5000 0.5000 0.5000

Calculated values
* DOS at the Fermi energy: 4.3 states/eV/cell
* V: 101.4 Å³/cell
* ΔE to the lowest computed polymorph: 0 meV per atom

---

A plane-wave DFT calculation with PBE was carried out for a relaxed Na3TlV crystal.

a = 5.7484 Å, b = 5.7484 Å, c = 5.7484 Å
α = 90.00°, β = 90.00°, γ = 90.00°
Fractional coordinates of all 5 atoms:
Na: 0.0000 0.0000 0.5000
Na: 0.0000 0.5000 0.0000
Na: 0.5000 0.0000 0.0000
Tl: 0.5000 0.5000 0.5000
V: 0.0000 0.0000 0.0000

Calculated values
* DOS at the Fermi energy: 9.8 states/eV/cell
* V: 189.9 Å³/cell
* ΔE to the lowest computed polymorph: 0 meV per atom

---

| no. | energy of formation from the pure elements (eV per atom) |
| --- | --- |
| 1 | 0.179 |
| 2 | 0.629 |
| 3 | 0.882 |